Record 1
First-principles (PBE) data for crystalline CaEr2GaAu4 at its relaxed geometry, as listed in the Alexandria database.

The volume comes out at 21.6 Å³ per atom. Its formation energy from the elements is -0.7367 eV per atom. The magnetization is 0.00 μB/f.u.

Cell: 4.9428 4.9428 24.4631 Å, 90.00 90.00 120.00°
With the nearest neighbours (Å) after each atom.
Space group R-3m (No. 166, hexagonal axes)
Unique sites:
Ca: 0.0000 0.0000 0.0000 (multiplicity 3)  8 Au 3.00-3.05
Er: 0.0000 0.0000 0.2435 (multiplicity 6)  8 Au 2.95-3.29
Ga: 0.0000 0.0000 0.5000 (multiplicity 3)  8 Au 2.99-3.05
Au: 0.0000 0.0000 0.1227 (multiplicity 6)  4 Er 2.95-2.96, 1 Ca 3.00, 3 Ga 3.05
Au: 0.0000 0.0000 0.3778 (multiplicity 6)  1 Ga 2.99, 3 Ca 3.05, 4 Er 3.06-3.29

=====

Record 2
First-principles (PBE) data for crystalline CaErGaAu at its relaxed geometry, as listed in the Alexandria database.

The volume comes out at 23.3 Å³ per atom. Its formation energy from the elements is -0.6518 eV per atom. The magnetization is 0.00 μB/f.u. Its energy above the most stable polymorph in this dataset is 3.4 kJ/mol of atoms.

Cell: 7.1988 7.1988 7.1988 Å, 90.00 90.00 90.00°
With the nearest neighbours (Å) after each atom.
Space group F-43m (No. 216)
Unique sites:
Ca: 0.0000 0.0000 0.0000 (multiplicity 4)  4 Ga 3.12, 4 Au 3.12
Er: 0.0000 0.0000 0.5000 (multiplicity 4)  4 Au 3.12, 4 Ga 3.12
Ga: 0.2500 0.2500 0.2500 (multiplicity 4)  4 Er 3.12, 4 Ca 3.12
Au: 0.2500 0.2500 0.7500 (multiplicity 4)  4 Ca 3.12, 4 Er 3.12

=====

Record 3
First-principles (PBE) data for crystalline CaErGaAu at its relaxed geometry, as listed in the Alexandria database.

The volume comes out at 23.7 Å³ per atom. Its formation energy from the elements is -0.6872 eV per atom. The magnetization is 0.00 μB/f.u. Its energy above the most stable polymorph in this dataset is 0.0 kJ/mol of atoms.

Cell: 3.6168 3.6168 7.2329 Å, 90.00 90.00 90.00°
With the nearest neighbours (Å) after each atom.
Space group P4mm (No. 99)
Unique sites:
Ca: 0.0000 0.0000 0.0000 (multiplicity 1)  4 Ga 3.22, 4 Au 3.24, 1 Er 3.55
Er: 0.0000 0.0000 0.4911 (multiplicity 1)  4 Au 3.00, 4 Ga 3.08
Ga: 0.5000 0.5000 0.7295 (multiplicity 1)  4 Er 3.08, 4 Ca 3.22, 1 Au 3.29
Au: 0.5000 0.5000 0.2739 (multiplicity 1)  4 Er 3.00, 4 Ca 3.24, 1 Ga 3.29

=====

Record 4
First-principles (PBE) data for crystalline Ca2ErGa3Au12 at its relaxed geometry, as listed in the Alexandria database.

The volume comes out at 22.9 Å³ per atom. Its formation energy from the elements is -0.2908 eV per atom. The magnetization is 0.00 μB/f.u.

Cell: 6.8988 6.8988 30.0556 Å, 90.00 90.00 120.00°
With the nearest neighbours (Å) after each atom.
Space group R-3m (No. 166, hexagonal axes)
Unique sites:
Ca: 0.0000 0.0000 0.1372 (multiplicity 6)  6 Au 3.10-3.21
Er: 0.0000 0.0000 0.5000 (multiplicity 3)  6 Au 2.84
Ga: 0.0000 0.5000 0.0000 (multiplicity 9)  4 Au 2.59
Au: 0.0479 0.5240 0.8900 (multiplicity 18)  1 Er 2.84, 4 Au 2.87-2.95, 1 Ca 3.10
Au: 0.0621 0.5310 0.6215 (multiplicity 18)  2 Ga 2.59, 4 Au 2.81-2.87

=====

Record 5
First-principles (PBE) data for crystalline CaErGa2Au2 at its relaxed geometry, as listed in the Alexandria database.

The volume comes out at 21.5 Å³ per atom. Its formation energy from the elements is -0.7519 eV per atom. The magnetization is 0.00 μB/f.u.

Cell: 4.5699 4.5699 7.1343 Å, 90.00 90.00 120.00°
With the nearest neighbours (Å) after each atom.
Space group P-3m1 (No. 164)
Unique sites:
Ca: 0.0000 0.0000 0.0000 (multiplicity 1)  6 Ga 3.28, 6 Au 3.30, 2 Er 3.57
Er: 0.0000 0.0000 0.5000 (multiplicity 1)  6 Au 3.07, 6 Ga 3.09
Ga: 0.3333 0.6667 0.7264 (multiplicity 2)  3 Au 2.64
Au: 0.3333 0.6667 0.2788 (multiplicity 2)  3 Ga 2.64

=====

Record 6
First-principles (PBE) data for crystalline CaErHgAu at its relaxed geometry, as listed in the Alexandria database.

The volume comes out at 24.3 Å³ per atom. Its formation energy from the elements is -0.6499 eV per atom. The magnetization is 0.00 μB/f.u. Its energy above the most stable polymorph in this dataset is 2.8 kJ/mol of atoms.

Cell: 7.3014 7.3014 7.3014 Å, 90.00 90.00 90.00°
With the nearest neighbours (Å) after each atom.
Space group F-43m (No. 216)
Unique sites:
Ca: 0.0000 0.0000 0.0000 (multiplicity 4)  4 Hg 3.16, 4 Au 3.16
Er: 0.0000 0.0000 0.5000 (multiplicity 4)  4 Hg 3.16, 4 Au 3.16
Hg: 0.2500 0.2500 0.2500 (multiplicity 4)  4 Er 3.16, 4 Ca 3.16
Au: 0.2500 0.2500 0.7500 (multiplicity 4)  4 Er 3.16, 4 Ca 3.16

=====

Q: Which formula does entry 4 have?
A: Ca2ErGa3Au12